## Cd3Ag7Au2 (GGA-PBE)

Data for Cd3Ag7Au2 after structural relaxation.

Output
* formation energy: 0.01 eV per atom
* DFT total energy: -2.424 eV/atom
* magnetization: 0.00 μB/f.u.
* DOS at the Fermi energy: 0.275 states/eV/atom
* energy above the most stable polymorph in this dataset: 0.0686 eV/atom

```
Cd3Ag7Au2
1.0
4.8927 0.0000 0.0000
0.0000 2.9606 0.0000
-0.8880 0.0000 15.9416
Cd Ag Au
3 7 2
direct
0.0000 0.0000 0.0000 Cd
0.2885 0.5000 0.6358 Cd
0.7115 0.5000 0.3642 Cd
0.1832 0.5000 0.1445 Ag
0.2435 0.0000 0.4653 Ag
0.3142 0.0000 0.8179 Ag
0.5000 0.5000 0.0000 Ag
0.6858 0.0000 0.1821 Ag
0.7565 0.0000 0.5347 Ag
0.8168 0.5000 0.8555 Ag
0.1950 0.0000 0.2946 Au
0.8050 0.0000 0.7054 Au
```